{"formula": "Rb2NdBiO4", "functional": "PBE-GGA", "state": "relaxed", "lattice_angstrom": [[6.330, 0.000, 0.000], [0.000, 3.663, 0.000], [-2.107, 0.000, 6.608]], "species": ["Rb", "Rb", "Nd", "Bi", "O", "O", "O", "O"], "fractional_positions": [[0.000, 0.000, 0.000], [0.500, 0.500, 0.000], [0.000, 0.500, 0.500], [0.500, 0.000, 0.500], [0.224, 0.000, 0.684], [0.266, 0.500, 0.311], [0.734, 0.500, 0.689], [0.776, 0.000, 0.316]], "raw_formation_energy_ev_per_atom": -1.92, "total_energy_ev_per_fu": -45.8, "spacegroup": "P2/m, No. 10"}

---

{"formula": "Nd2BiRhO6", "functional": "PBE-GGA", "state": "relaxed", "lattice_angstrom": [[5.696, 0.000, 0.000], [0.000, 6.075, 0.000], [-5.375, 0.000, 8.267]], "species": ["Nd", "Nd", "Nd", "Nd", "Bi", "Bi", "Rh", "Rh", "O", "O", "O", "O", "O", "O", "O", "O", "O", "O", "O", "O"], "fractional_positions": [[0.221, 0.069, 0.248], [0.221, 0.431, 0.748], [0.779, 0.569, 0.252], [0.779, 0.931, 0.752], [0.500, 0.000, 0.000], [0.500, 0.500, 0.500], [0.000, 0.000, 0.500], [0.000, 0.500, 0.000], [0.099, 0.207, 0.928], [0.099, 0.293, 0.428], [0.229, 0.685, 0.933], [0.229, 0.815, 0.433], [0.368, 0.062, 0.729], [0.368, 0.438, 0.229], [0.632, 0.562, 0.771], [0.632, 0.938, 0.271], [0.771, 0.185, 0.567], [0.771, 0.315, 0.067], [0.901, 0.707, 0.572], [0.901, 0.793, 0.072]], "raw_formation_energy_ev_per_atom": -2.10, "total_energy_ev_per_fu": -71.5, "spacegroup": "P2_1/c, No. 14"}

---

{"formula": "NdBi2RuO8", "functional": "PBE-GGA", "state": "relaxed", "lattice_angstrom": [[5.190, 0.000, 0.000], [0.000, 6.864, 0.000], [-0.143, 0.000, 5.205]], "species": ["Nd", "Bi", "Bi", "Ru", "O", "O", "O", "O", "O", "O", "O", "O"], "fractional_positions": [[0.000, 0.000, 0.000], [0.500, 0.254, 0.500], [0.500, 0.746, 0.500], [0.000, 0.500, 0.000], [0.181, 0.285, 0.188], [0.181, 0.715, 0.188], [0.253, 0.500, 0.759], [0.322, 0.000, 0.685], [0.678, 0.000, 0.315], [0.747, 0.500, 0.241], [0.819, 0.285, 0.812], [0.819, 0.715, 0.812]], "raw_formation_energy_ev_per_atom": -1.42, "total_energy_ev_per_fu": -78.6, "spacegroup": "P2/m, No. 10"}

---

{"formula": "NdBi3Ru4O14", "functional": "PBE-GGA", "state": "relaxed", "lattice_angstrom": [[3.672, 2.120, 6.028], [-3.672, 2.120, 6.028], [0.000, -4.240, 6.028]], "species": ["Nd", "Bi", "Bi", "Bi", "Ru", "Ru", "Ru", "Ru", "O", "O", "O", "O", "O", "O", "O", "O", "O", "O", "O", "O", "O", "O"], "fractional_positions": [[0.000, 0.000, 0.000], [0.000, 0.000, 0.500], [0.000, 0.500, 0.000], [0.500, 0.000, 0.000], [0.000, 0.500, 0.500], [0.500, 0.000, 0.500], [0.500, 0.500, 0.000], [0.500, 0.500, 0.500], [0.125, 0.125, 0.125], [0.171, 0.171, 0.575], [0.171, 0.575, 0.171], [0.173, 0.578, 0.578], [0.422, 0.422, 0.827], [0.422, 0.827, 0.422], [0.425, 0.829, 0.829], [0.575, 0.171, 0.171], [0.578, 0.173, 0.578], [0.578, 0.578, 0.173], [0.827, 0.422, 0.422], [0.829, 0.425, 0.829], [0.829, 0.829, 0.425], [0.875, 0.875, 0.875]], "raw_formation_energy_ev_per_atom": -1.35, "total_energy_ev_per_fu": -152.5, "spacegroup": "R-3m, No. 166"}

---

{"formula": "NdBiSO2", "functional": "PBE-GGA", "state": "relaxed", "lattice_angstrom": [[6.529, 0.000, 0.000], [0.000, 4.108, 0.000], [-2.227, 0.000, 7.437]], "species": ["Nd", "Nd", "Bi", "Bi", "S", "S", "O", "O", "O", "O"], "fractional_positions": [[0.200, 0.250, 0.430], [0.800, 0.750, 0.570], [0.193, 0.250, 0.917], [0.807, 0.750, 0.083], [0.441, 0.750, 0.711], [0.559, 0.250, 0.289], [0.015, 0.750, 0.890], [0.018, 0.750, 0.367], [0.982, 0.250, 0.633], [0.985, 0.250, 0.110]], "raw_formation_energy_ev_per_atom": -2.00, "total_energy_ev_per_fu": -32.7, "spacegroup": "P2_1/m, No. 11"}

---

{"formula": "NdBi2SbO8", "functional": "PBE-GGA", "state": "relaxed", "lattice_angstrom": [[3.572, -3.630, 0.000], [3.572, 3.630, 0.000], [0.000, 0.000, 7.056]], "species": ["Nd", "Bi", "Bi", "Sb", "O", "O", "O", "O", "O", "O", "O", "O"], "fractional_positions": [[0.000, 0.000, 0.000], [0.500, 0.500, 0.258], [0.500, 0.500, 0.742], [0.000, 0.000, 0.500], [0.185, 0.185, 0.284], [0.185, 0.185, 0.716], [0.285, 0.715, 0.500], [0.322, 0.678, 0.000], [0.678, 0.322, 0.000], [0.715, 0.285, 0.500], [0.815, 0.815, 0.284], [0.815, 0.815, 0.716]], "raw_formation_energy_ev_per_atom": -1.59, "total_energy_ev_per_fu": -75.4, "spacegroup": "Cmmm, No. 65"}

---

{"formula": "Nd2ScBi2O2", "functional": "PBE-GGA", "state": "relaxed", "lattice_angstrom": [[-2.112, 2.112, 8.489], [2.112, -2.112, 8.489], [2.112, 2.112, -8.489]], "species": ["Nd", "Nd", "Sc", "Bi", "Bi", "O", "O"], "fractional_positions": [[0.106, 0.106, 0.000], [0.894, 0.894, 0.000], [0.500, 0.500, 0.000], [0.312, 0.312, 0.000], [0.688, 0.688, 0.000], [0.000, 0.500, 0.500], [0.500, 0.000, 0.500]], "raw_formation_energy_ev_per_atom": -1.92, "total_energy_ev_per_fu": -47.0, "spacegroup": "I4/mmm, No. 139"}

---

{"formula": "NdBiSe2O", "functional": "PBE-GGA", "state": "relaxed", "lattice_angstrom": [[4.104, 0.000, 0.000], [0.000, 4.104, 0.000], [0.000, 0.000, 14.968]], "species": ["Nd", "Nd", "Bi", "Bi", "Se", "Se", "Se", "Se", "O", "O"], "fractional_positions": [[0.250, 0.250, 0.079], [0.750, 0.750, 0.921], [0.250, 0.250, 0.637], [0.750, 0.750, 0.363], [0.250, 0.250, 0.402], [0.250, 0.250, 0.816], [0.750, 0.750, 0.184], [0.750, 0.750, 0.598], [0.250, 0.750, 0.000], [0.750, 0.250, 0.000]], "raw_formation_energy_ev_per_atom": -1.67, "total_energy_ev_per_fu": -28.9, "spacegroup": "P4/nmm, No. 129"}